1.
La8Ir3AuCl4 | PBE | optimized geometry

a b c (Å): 8.4829 8.4829 22.8089
angles (deg): 90.00 90.00 120.00
Closest atoms and distances in Å follow each position.
Space group R-3m (No. 166, hexagonal axes)
Inequivalent atoms, fractional coordinates:
1 La 0.0000 0.0000 0.2354 x6  3 Ir 2.91
2 La 0.0145 0.5072 0.7645 x18  2 Ir 2.87, 1 Au 3.00
3 Ir 0.0000 0.5000 0.5000 x9  6 La 2.87-2.91
4 Au 0.0000 0.0000 0.5000 x3  6 La 3.00
5 Cl 0.0000 0.0000 0.0000 x3  6 La 3.23
6 Cl 0.0000 0.5000 0.0000 x9  6 La 3.31-3.35

Calculated values
**Formation energy (no corrections)**: -124.97 kJ/mol of atoms
**DOS(E_F)**: 9.9 states/eV/f.u.
**Crystal system**: trigonal


2.
La4IrAu2Cl | PBE | optimized geometry

a b c (Å): 7.4864 4.3075 7.6044
angles (deg): 90.00 108.42 90.00
Closest atoms and distances in Å follow each position.
Space group P2/m (No. 10)
Inequivalent atoms, fractional coordinates:
1 La 0.2326 0.0000 0.2248 x2  2 Ir 2.95, 3 Au 3.02-3.22, 1 Cl 3.12
2 La 0.2378 0.5000 0.7706 x2  1 Ir 2.86, 2 Au 3.06, 2 Cl 3.12
3 Ir 0.0000 0.5000 0.0000 x1  6 La 2.86-2.95
4 Au 0.5000 0.0000 0.0000 x1  6 La 3.02-3.06
5 Au 0.5000 0.5000 0.5000 x1  6 La 3.22-3.26
6 Cl 0.0000 0.0000 0.5000 x1  6 La 3.12

Calculated values
**Formation energy (no corrections)**: -96.22 kJ/mol of atoms
**DOS(E_F)**: 7.3 states/eV/f.u.
**Crystal system**: monoclinic


3.
La3IrAuCl | PBE | optimized geometry

a b c (Å): 8.5579 4.3527 9.5576
angles (deg): 90.00 99.50 90.00
Closest atoms and distances in Å follow each position.
Space group P2_1/m (No. 11)
Inequivalent atoms, fractional coordinates:
1 La 0.0681 0.2500 0.3409 x2  3 Ir 2.92-2.94, 2 Au 3.14
2 La 0.2166 0.2500 0.9575 x2  3 Cl 2.88-3.16, 1 Ir 2.91
3 La 0.3737 0.7500 0.6143 x2  1 Cl 2.77, 2 Ir 2.89
4 Ir 0.1614 0.2500 0.6485 x2  6 La 2.89-2.94
5 Au 0.3001 0.7500 0.2563 x2  3 La 3.14-3.38
6 Cl 0.4207 0.7500 0.9077 x2  3 La 2.77-2.88, 2 Cl 2.98

Calculated values
**Formation energy (no corrections)**: -93.90 kJ/mol of atoms
**DOS(E_F)**: 4.1 states/eV/f.u.
**Crystal system**: monoclinic


4.
LiIrAu2Cl | PBE | optimized geometry

a b c (Å): 4.6799 4.6799 4.0474
angles (deg): 90.00 90.00 90.00
Closest atoms and distances in Å follow each position.
Space group P4/mmm (No. 123)
Inequivalent atoms, fractional coordinates:
1 Li 0.0000 0.0000 0.0000 x1  2 Cl 2.02
2 Ir 0.5000 0.5000 0.5000 x1  8 Au 3.09, 4 Cl 3.31
3 Au 0.0000 0.5000 0.0000 x2  2 Li 2.34
4 Cl 0.0000 0.0000 0.5000 x1  2 Li 2.02

Calculated values
**Formation energy (no corrections)**: 66.06 kJ/mol of atoms
**DOS(E_F)**: 3.7 states/eV/f.u.
**Crystal system**: tetragonal


5.
IrAuN5Cl6 | PBE | optimized geometry

a b c (Å): 14.6198 10.4950 10.5969
angles (deg): 90.00 106.13 90.00
Closest atoms and distances in Å follow each position.
Space group C2/m (No. 12)
Inequivalent atoms, fractional coordinates:
1 Ir 0.2205 0.0000 0.2492 x4  1 N 1.81
2 Au 0.0000 0.0000 0.5000 x2  4 Cl 2.32-2.34
3 Au 0.0000 0.5000 0.0000 x2  4 Cl 2.32
4 N 0.1394 0.0000 0.0855 x4  1 Cl 1.62, 1 Ir 1.81
5 N 0.2058 0.3177 0.7991 x8  1 N 1.14
6 N 0.2362 0.2135 0.2477 x8  1 N 1.14
7 Cl 0.0000 0.2787 0.0000 x4  1 Au 2.32
8 Cl 0.0326 0.5000 0.2266 x4  1 Au 2.32
9 Cl 0.0610 0.0000 0.3179 x4  1 Au 2.34
10 Cl 0.1451 0.0000 0.9355 x4  1 N 1.62
11 Cl 0.1507 0.0000 0.6478 x4  1 Au 2.32
12 Cl 0.1780 0.5000 0.5469 x4  1 Ir 2.26

Calculated values
**Formation energy (no corrections)**: 20.87 kJ/mol of atoms
**DOS(E_F)**: 4.4 states/eV/f.u.
**Crystal system**: monoclinic


6.
Nd3IrAuCl | PBE | optimized geometry

a b c (Å): 8.3540 4.3028 9.4158
angles (deg): 90.00 99.04 90.00
Closest atoms and distances in Å follow each position.
Space group P2_1/m (No. 11)
Inequivalent atoms, fractional coordinates:
1 Nd 0.0725 0.2500 0.3400 x2  3 Ir 2.88-2.90, 2 Au 3.09
2 Nd 0.2110 0.2500 0.9576 x2  2 Cl 2.82, 1 Ir 2.87
3 Nd 0.3759 0.7500 0.6139 x2  1 Cl 2.75, 2 Ir 2.87
4 Ir 0.1580 0.2500 0.6485 x2  6 Nd 2.87-2.90
5 Au 0.3099 0.7500 0.2620 x2  5 Nd 3.09-3.45
6 Cl 0.4144 0.7500 0.9089 x2  3 Nd 2.75-2.82, 2 Cl 2.97

Calculated values
**Formation energy (no corrections)**: -83.04 kJ/mol of atoms
**DOS(E_F)**: 3.6 states/eV/f.u.
**Crystal system**: monoclinic


7.
IrAuClO | PBE | optimized geometry

a b c (Å): 3.6886 3.4321 12.2901
angles (deg): 90.00 90.00 90.00
Closest atoms and distances in Å follow each position.
Space group Amm2 (No. 38)
Inequivalent atoms, fractional coordinates:
1 Ir 0.0000 0.0000 0.0000 x2  2 O 1.85
2 Au 0.0000 0.0000 0.3377 x2  2 Cl 2.54, 2 Ir 2.63
3 Cl 0.0000 0.0000 0.6857 x2  2 Au 2.54
4 O 0.5000 0.0000 0.0081 x2  2 Ir 1.85

Calculated values
**Formation energy (no corrections)**: -8.22 kJ/mol of atoms
**DOS(E_F)**: 3.5 states/eV/f.u.
**Crystal system**: orthorhombic


8.
IrAuClO | PBE | optimized geometry

a b c (Å): 2.8328 3.7453 7.0825
angles (deg): 93.62 90.02 112.04
Closest atoms and distances in Å follow each position.
Space group P1 (No. 1)
Inequivalent atoms, fractional coordinates:
1 Ir 0.0000 0.0000 0.0000 x1  3 O 1.95-2.10
2 Au 0.5141 0.0288 0.6702 x1  2 Cl 2.59, 2 Ir 2.74, 2 Au 2.83
3 Cl 0.0280 0.0574 0.3658 x1  1 Ir 2.58, 2 Au 2.59, 2 Cl 2.83
4 O 0.2829 0.5621 0.0263 x1  3 Ir 1.95-2.10

Calculated values
**Formation energy (no corrections)**: 12.40 kJ/mol of atoms
**DOS(E_F)**: 2.4 states/eV/f.u.
**Crystal system**: triclinic


9.
IrAuClO | PBE | optimized geometry

a b c (Å): 2.8503 4.7751 6.9269
angles (deg): 100.18 101.18 90.01
Closest atoms and distances in Å follow each position.
Space group P1 (No. 1)
Inequivalent atoms, fractional coordinates:
1 Ir 0.0000 0.0000 0.0000 x1  1 O 1.88
2 Au 0.5650 0.6010 0.1379 x1  2 O 2.23
3 Cl 0.8553 0.7209 0.6929 x1  1 Ir 2.26
4 O 0.1077 0.2893 0.2288 x1  1 Ir 1.88

Calculated values
**Formation energy (no corrections)**: 17.51 kJ/mol of atoms
**DOS(E_F)**: 3.4 states/eV/f.u.
**Crystal system**: triclinic


10.
IrAuClO | PBE | optimized geometry

a b c (Å): 13.3603 4.7448 2.8341
angles (deg): 90.00 101.85 90.00
Closest atoms and distances in Å follow each position.
Space group Cm (No. 8)
Inequivalent atoms, fractional coordinates:
1 Ir 0.0000 0.0000 0.0000 x2  1 O 1.77
2 Au 0.0095 0.5000 0.5091 x2  4 Ir 2.77, 2 Au 2.83
3 Cl 0.1753 0.0000 0.1695 x2  1 Ir 2.29
4 O 0.3645 0.5000 0.8689 x2  1 Ir 1.77

Calculated values
**Formation energy (no corrections)**: 8.09 kJ/mol of atoms
**DOS(E_F)**: 3.4 states/eV/f.u.
**Crystal system**: monoclinic